1.
DFT (PBE-GGA) results for an optimized crystal structure of Nd6SbAs3P2.

Lattice parameters (Å, degrees): 18.648 4.277 8.580 90.00 103.12 90.00
Space group C2/m (No. 12)
Inequivalent atoms, fractional coordinates:
Nd (0.003, 0.000, 0.263) (multiplicity 4)
Nd (0.169, 0.500, 0.580) (multiplicity 4)
Nd (0.172, 0.500, 0.092) (multiplicity 4)
Sb (0.000, 0.500, 0.000) (multiplicity 2)
As (0.000, 0.500, 0.500) (multiplicity 2)
As (0.165, 0.000, 0.832) (multiplicity 4)
P (0.168, 0.000, 0.336) (multiplicity 4)

Calculated values
- Formation energy (no corrections): -1.443 eV per atom
- Size of the total moment: 0.00 Bohr magnetons per cell
- Energy: -6.234 eV per atom

***

2.
DFT (PBE-GGA) results for an optimized crystal structure of Nd4Sb2AsP.

Lattice parameters (Å, degrees): 7.537 4.353 7.628 90.00 109.20 90.00
Space group P2/m (No. 10)
Inequivalent atoms, fractional coordinates:
Nd (0.240, 0.000, 0.230) (multiplicity 2)
Nd (0.253, 0.500, 0.768) (multiplicity 2)
Sb (0.000, 0.000, 0.500) (multiplicity 1)
Sb (0.500, 0.500, 0.500) (multiplicity 1)
As (0.500, 0.000, 0.000) (multiplicity 1)
P (0.000, 0.500, 0.000) (multiplicity 1)

Calculated values
- Formation energy (no corrections): -1.333 eV per atom
- Size of the total moment: 0.00 Bohr magnetons per cell
- Energy: -6.005 eV per atom

***

3.
DFT (PBE-GGA) results for an optimized crystal structure of Nd6Sb3As2P.

Lattice parameters (Å, degrees): 19.147 4.364 8.796 90.00 104.03 90.00
Space group C2/m (No. 12)
Inequivalent atoms, fractional coordinates:
Nd (0.003, 0.000, 0.236) (multiplicity 4)
Nd (0.161, 0.500, 0.091) (multiplicity 4)
Nd (0.170, 0.500, 0.574) (multiplicity 4)
Sb (0.000, 0.500, 0.500) (multiplicity 2)
Sb (0.168, 0.000, 0.834) (multiplicity 4)
As (0.166, 0.000, 0.333) (multiplicity 4)
P (0.000, 0.500, 0.000) (multiplicity 2)

Calculated values
- Formation energy (no corrections): -1.334 eV per atom
- Size of the total moment: 0.00 Bohr magnetons per cell
- Energy: -5.975 eV per atom

***

4.
DFT (PBE-GGA) results for an optimized crystal structure of Nd6Sb3AsP2.

Lattice parameters (Å, degrees): 19.080 4.341 8.768 90.00 104.23 90.00
Space group C2/m (No. 12)
Inequivalent atoms, fractional coordinates:
Nd (0.006, 0.000, 0.243) (multiplicity 4)
Nd (0.164, 0.500, 0.097) (multiplicity 4)
Nd (0.172, 0.500, 0.570) (multiplicity 4)
Sb (0.000, 0.500, 0.500) (multiplicity 2)
Sb (0.166, 0.000, 0.832) (multiplicity 4)
As (0.000, 0.500, 0.000) (multiplicity 2)
P (0.167, 0.000, 0.334) (multiplicity 4)

Calculated values
- Formation energy (no corrections): -1.334 eV per atom
- Size of the total moment: 0.00 Bohr magnetons per cell
- Energy: -6.038 eV per atom

***

5.
DFT (PBE-GGA) results for an optimized crystal structure of Nd6AsP3Se2.

Lattice parameters (Å, degrees): 18.390 4.198 8.442 90.00 103.76 90.00
Space group C2/m (No. 12)
Inequivalent atoms, fractional coordinates:
Nd (0.003, 0.000, 0.248) (multiplicity 4)
Nd (0.162, 0.500, 0.094) (multiplicity 4)
Nd (0.168, 0.500, 0.573) (multiplicity 4)
As (0.000, 0.500, 0.500) (multiplicity 2)
P (0.000, 0.500, 0.000) (multiplicity 2)
P (0.167, 0.000, 0.333) (multiplicity 4)
Se (0.168, 0.000, 0.836) (multiplicity 4)

Calculated values
- Formation energy (no corrections): -1.706 eV per atom
- Size of the total moment: 0.00 Bohr magnetons per cell
- Energy: -6.410 eV per atom

***

6.
DFT (PBE-GGA) results for an optimized crystal structure of Nd4AsPSe2.

Lattice parameters (Å, degrees): 7.299 4.214 7.388 90.00 109.27 90.00
Space group P2/m (No. 10)
Inequivalent atoms, fractional coordinates:
Nd (0.239, 0.000, 0.233) (multiplicity 2)
Nd (0.250, 0.500, 0.764) (multiplicity 2)
As (0.500, 0.000, 0.000) (multiplicity 1)
P (0.000, 0.500, 0.000) (multiplicity 1)
Se (0.000, 0.000, 0.500) (multiplicity 1)
Se (0.500, 0.500, 0.500) (multiplicity 1)

Calculated values
- Formation energy (no corrections): -1.753 eV per atom
- Size of the total moment: 0.00 Bohr magnetons per cell
- Energy: -6.265 eV per atom